--- w ---
{"formula": "MgScSn3", "functional": "PBE", "state": "relaxed", "lattice_angstrom": [[5.5133, 0.0000, 0.0000], [0.0000, 5.5133, 0.0000], [0.0000, 0.0000, 5.5133]], "species": ["Sn", "Sn", "Sn", "Mg", "Sc"], "fractional_positions": [[0.5000, 0.0000, 0.0000], [0.0000, 0.0000, 0.5000], [0.0000, 0.5000, 0.0000], [0.5000, 0.5000, 0.5000], [0.0000, 0.0000, 0.0000]], "m_tot_mub_per_atom": 0.00, "mass_density_g_cm3": 4.21}

--- x ---
{"formula": "MgScSn3", "functional": "PBE", "state": "relaxed", "lattice_angstrom": [[6.0471, 0.0603, 0.0000], [-0.0642, 6.1831, 0.0000], [0.0000, 0.0000, 12.7907]], "species": ["Sn", "Sn", "Sn", "Sn", "Sn", "Sn", "Sn", "Sn", "Sn", "Sn", "Sn", "Sn", "Sc", "Sc", "Sc", "Sc", "Mg", "Mg", "Mg", "Mg"], "fractional_positions": [[0.5070, 0.2502, 0.2781], [0.1978, 0.7500, 0.9132], [0.0070, 0.2502, 0.7219], [0.7500, 0.0000, 0.4992], [0.3022, 0.2500, 0.9132], [0.7500, 0.5000, 0.4992], [0.4930, 0.7498, 0.7219], [0.2500, 0.0000, 0.5008], [0.8022, 0.2500, 0.0868], [0.9930, 0.7498, 0.2781], [0.6978, 0.7500, 0.0868], [0.2500, 0.5000, 0.5008], [0.5052, 0.2498, 0.6861], [0.4948, 0.7502, 0.3139], [0.0052, 0.2498, 0.3139], [0.9948, 0.7502, 0.6861], [0.7500, 0.0000, 0.8834], [0.2500, 0.5000, 0.1166], [0.2500, 0.0000, 0.1166], [0.7500, 0.5000, 0.8834]], "m_tot_mub_per_atom": 0.00, "mass_density_g_cm3": 5.91}

--- y ---
{"formula": "MgScSn3", "functional": "PBE", "state": "relaxed", "lattice_angstrom": [[5.2980, 0.0000, 0.0000], [0.0000, 5.2980, 0.0000], [0.0000, 0.0000, 5.2980]], "species": ["Sn", "Sn", "Sn", "Mg", "Sc"], "fractional_positions": [[0.5000, 0.0000, 0.0000], [0.0000, 0.5000, 0.0000], [0.0000, 0.0000, 0.5000], [0.0000, 0.0000, 0.0000], [0.5000, 0.5000, 0.5000]], "m_tot_mub_per_atom": 0.00, "mass_density_g_cm3": 4.75}

Which of them is the least stable? Correct choice: y.

--- w ---
{"formula": "Mg2ScSn2", "functional": "PBE", "state": "relaxed", "lattice_angstrom": [[-0.5373, 4.0369, 1.3336], [-3.9402, 0.0321, -1.6846], [-4.7321, -0.2098, 5.6134]], "species": ["Sc", "Mg", "Mg", "Sn", "Sn"], "fractional_positions": [[0.0000, 0.0000, 0.0000], [0.2500, 0.7500, 0.5000], [0.7500, 0.2500, 0.5000], [0.6044, 0.6044, 0.7912], [0.3956, 0.3956, 0.2088]], "m_tot_mub_per_atom": 0.00, "mass_density_g_cm3": 4.47}

--- x ---
{"formula": "Mg2ScSn2", "functional": "PBE", "state": "relaxed", "lattice_angstrom": [[-7.1373, 2.4480, 3.5053], [-4.2750, -4.1908, -5.7777], [0.0268, -2.7589, 1.9813]], "species": ["Mg", "Mg", "Mg", "Mg", "Sn", "Sn", "Sn", "Sn", "Sc", "Sc"], "fractional_positions": [[0.1230, 0.3770, 0.0000], [0.8770, 0.6230, 0.0000], [0.6230, 0.1230, 0.0000], [0.3770, 0.8770, 0.0000], [0.8228, 0.3228, 0.5000], [0.3228, 0.1772, 0.5000], [0.6772, 0.8228, 0.5000], [0.1772, 0.6772, 0.5000], [0.5000, 0.5000, 0.0000], [0.0000, 0.0000, 0.0000]], "m_tot_mub_per_atom": 0.03, "mass_density_g_cm3": 4.68}

Which of them is the least stable? Correct choice: w.

--- w ---
{"formula": "MgScSn4", "functional": "PBE", "state": "relaxed", "lattice_angstrom": [[-4.2477, 3.7596, -3.7343], [-4.8098, -4.7439, 0.6951], [2.3679, 3.4848, 6.9905]], "species": ["Mg", "Mg", "Sn", "Sn", "Sn", "Sn", "Sn", "Sn", "Sn", "Sn", "Sc", "Sc"], "fractional_positions": [[0.5000, 0.5000, 0.0000], [0.0000, 0.0000, 0.0000], [0.7765, 0.2765, 0.2381], [0.2765, 0.4616, 0.2381], [0.2235, 0.7235, 0.7619], [0.5384, 0.0384, 0.7619], [0.0384, 0.2235, 0.7619], [0.7235, 0.5384, 0.7619], [0.9616, 0.7765, 0.2381], [0.4616, 0.9616, 0.2381], [0.2500, 0.2500, 0.5000], [0.7500, 0.7500, 0.5000]], "m_tot_mub_per_atom": 0.00, "mass_density_g_cm3": 5.94}

--- x ---
{"formula": "MgScSn4", "functional": "PBE", "state": "relaxed", "lattice_angstrom": [[-2.1021, -3.8411, -3.5836], [-2.8730, -2.3907, 4.2477], [-7.2070, 5.5671, -1.7413]], "species": ["Sc", "Sc", "Mg", "Mg", "Sn", "Sn", "Sn", "Sn", "Sn", "Sn", "Sn", "Sn"], "fractional_positions": [[0.0000, 0.0000, 0.0000], [0.5000, 0.5000, 0.0000], [0.5000, 0.0000, 0.5000], [0.0000, 0.5000, 0.5000], [0.0000, 0.5002, 0.1633], [0.5000, 0.5003, 0.6687], [0.5000, 0.4997, 0.3313], [0.0000, 0.0003, 0.3313], [0.5000, 0.0002, 0.8367], [0.0000, 0.4998, 0.8367], [0.5000, 0.9998, 0.1633], [0.0000, 0.9997, 0.6687]], "m_tot_mub_per_atom": 0.00, "mass_density_g_cm3": 6.09}

Which of them is the least stable? Correct choice: x.

--- w ---
{"formula": "Sr3MgSc", "functional": "PBE", "state": "relaxed", "lattice_angstrom": [[-5.3629, -2.1880, 2.4729], [-0.7428, -3.7964, -4.9699], [3.2173, -4.5237, 2.9747]], "species": ["Mg", "Sr", "Sr", "Sr", "Sc"], "fractional_positions": [[0.0000, 0.0000, 0.0000], [0.5000, 0.0000, 0.0000], [0.0000, 0.0000, 0.5000], [0.0000, 0.5000, 0.0000], [0.5000, 0.5000, 0.5000]], "m_tot_mub_per_atom": 0.39, "mass_density_g_cm3": 2.21}

--- x ---
{"formula": "Sr3MgSc", "functional": "PBE", "state": "relaxed", "lattice_angstrom": [[-0.1557, -2.6663, -5.7698], [6.2676, -1.0239, 0.3040], [-1.0567, -5.6803, 2.6535]], "species": ["Sc", "Sr", "Sr", "Sr", "Mg"], "fractional_positions": [[0.0000, 0.0000, 0.0000], [0.5000, 0.0000, 0.0000], [0.0000, 0.5000, 0.0000], [0.0000, 0.0000, 0.5000], [0.5000, 0.5000, 0.5000]], "m_tot_mub_per_atom": 0.61, "mass_density_g_cm3": 2.15}

Which of them is the least stable? Correct choice: x.

--- w ---
{"formula": "SrMgSc3", "functional": "PBE", "state": "relaxed", "lattice_angstrom": [[-1.8696, -1.5305, 4.8920], [-0.8004, -5.0562, -1.8877], [5.0630, -1.3645, 1.5081]], "species": ["Sc", "Sc", "Sc", "Mg", "Sr"], "fractional_positions": [[0.0000, 0.0000, 0.5000], [0.5000, 0.0000, 0.0000], [0.0000, 0.5000, 0.0000], [0.0000, 0.0000, 0.0000], [0.5000, 0.5000, 0.5000]], "m_tot_mub_per_atom": 0.00, "mass_density_g_cm3": 2.52}

--- x ---
{"formula": "SrMgSc3", "functional": "PBE", "state": "relaxed", "lattice_angstrom": [[5.3466, 0.0000, 0.0000], [0.0000, 5.3466, 0.0000], [0.0000, 0.0000, 5.3466]], "species": ["Sc", "Sc", "Sc", "Mg", "Sr"], "fractional_positions": [[0.0000, 0.0000, 0.5000], [0.0000, 0.5000, 0.0000], [0.5000, 0.0000, 0.0000], [0.5000, 0.5000, 0.5000], [0.0000, 0.0000, 0.0000]], "m_tot_mub_per_atom": 0.00, "mass_density_g_cm3": 2.68}

Which of them is the least stable? Correct choice: x.

--- w ---
{"formula": "MgSc2Ta2", "functional": "PBE", "state": "relaxed", "lattice_angstrom": [[-3.4674, -0.8528, -1.9497], [1.7526, -3.2587, -1.6914], [-2.8616, -5.8437, 3.4007]], "species": ["Sc", "Sc", "Ta", "Ta", "Mg"], "fractional_positions": [[0.2500, 0.7500, 0.5000], [0.7500, 0.2500, 0.5000], [0.5891, 0.5891, 0.8217], [0.4109, 0.4109, 0.1783], [0.0000, 0.0000, 0.0000]], "m_tot_mub_per_atom": 0.00, "mass_density_g_cm3": 7.07}

--- x ---
{"formula": "MgSc2Ta2", "functional": "PBE", "state": "relaxed", "lattice_angstrom": [[7.8703, 0.0000, 0.0000], [0.0000, 7.8703, 0.0000], [0.0000, 0.0000, 3.5165]], "species": ["Ta", "Ta", "Ta", "Ta", "Sc", "Sc", "Sc", "Sc", "Mg", "Mg"], "fractional_positions": [[0.3821, 0.8821, 0.0000], [0.6179, 0.1179, 0.0000], [0.1179, 0.3821, 0.0000], [0.8821, 0.6179, 0.0000], [0.8257, 0.3257, 0.5000], [0.6743, 0.8257, 0.5000], [0.1743, 0.6743, 0.5000], [0.3257, 0.1743, 0.5000], [0.0000, 0.0000, 0.0000], [0.5000, 0.5000, 0.0000]], "m_tot_mub_per_atom": 0.00, "mass_density_g_cm3": 7.26}

Which of them is the least stable? Correct choice: w.

--- w ---
{"formula": "MgScTa3", "functional": "PBE", "state": "relaxed", "lattice_angstrom": [[-0.1648, -0.1482, -4.8000], [-4.7067, -0.9483, 0.1909], [-0.9532, 4.7083, -0.1126]], "species": ["Ta", "Ta", "Ta", "Mg", "Sc"], "fractional_positions": [[0.5000, 0.0000, 0.0000], [0.0000, 0.0000, 0.5000], [0.0000, 0.5000, 0.0000], [0.5000, 0.5000, 0.5000], [0.0000, 0.0000, 0.0000]], "m_tot_mub_per_atom": 0.00, "mass_density_g_cm3": 9.16}

--- x ---
{"formula": "MgScTa3", "functional": "PBE", "state": "relaxed", "lattice_angstrom": [[4.7976, 0.0000, 0.0000], [0.0000, 4.7976, 0.0000], [0.0000, 0.0000, 4.7976]], "species": ["Ta", "Ta", "Ta", "Sc", "Mg"], "fractional_positions": [[0.5000, 0.0000, 0.0000], [0.0000, 0.5000, 0.0000], [0.0000, 0.0000, 0.5000], [0.5000, 0.5000, 0.5000], [0.0000, 0.0000, 0.0000]], "m_tot_mub_per_atom": 0.00, "mass_density_g_cm3": 9.20}

Which of them is the least stable? Correct choice: w.

--- w ---
{"formula": "Tb4MgSc", "functional": "PBE", "state": "relaxed", "lattice_angstrom": [[-1.3023, 0.1797, 3.2681], [0.5611, -3.4529, 0.4134], [12.9341, 2.7012, 5.0054]], "species": ["Tb", "Tb", "Tb", "Tb", "Sc", "Mg"], "fractional_positions": [[0.5000, 0.5000, 0.1648], [0.5000, 0.5000, 0.8352], [0.0000, 0.0000, 0.3408], [0.0000, 0.0000, 0.6592], [0.0000, 0.0000, 0.0000], [0.5000, 0.5000, 0.5000]], "m_tot_mub_per_atom": 0.00, "mass_density_g_cm3": 6.68}

--- x ---
{"formula": "Tb4MgSc", "functional": "PBE", "state": "relaxed", "lattice_angstrom": [[-4.9170, 2.0507, -1.2052], [-3.2063, -3.1205, -4.6057], [-4.4935, -0.8014, 4.5919]], "species": ["Mg", "Tb", "Tb", "Tb", "Tb", "Sc"], "fractional_positions": [[0.5000, 0.5000, 0.5000], [0.1512, 0.1947, 0.5029], [0.6422, 0.6737, 0.0419], [0.3578, 0.3263, 0.9581], [0.8488, 0.8053, 0.4971], [0.0000, 0.0000, 0.0000]], "m_tot_mub_per_atom": 0.00, "mass_density_g_cm3": 6.69}

Which of them is the least stable? Correct choice: x.

--- w ---
{"formula": "Tb3MgSc2", "functional": "PBE", "state": "relaxed", "lattice_angstrom": [[-0.0104, 2.0618, -2.8682], [-3.3522, 0.8986, 0.6581], [4.2486, 10.3904, 7.4537]], "species": ["Sc", "Sc", "Tb", "Tb", "Tb", "Mg"], "fractional_positions": [[0.5000, 0.5000, 0.1679], [0.5000, 0.5000, 0.8321], [0.0000, 0.0000, 0.0000], [0.0000, 0.0000, 0.6652], [0.0000, 0.0000, 0.3348], [0.5000, 0.5000, 0.5000]], "m_tot_mub_per_atom": 0.00, "mass_density_g_cm3": 5.84}

--- x ---
{"formula": "Tb3MgSc2", "functional": "PBE", "state": "relaxed", "lattice_angstrom": [[6.3504, 0.0000, 0.0000], [0.0000, 6.5329, 0.3760], [-3.1752, -1.1909, 8.1553]], "species": ["Tb", "Tb", "Tb", "Tb", "Tb", "Tb", "Mg", "Mg", "Sc", "Sc", "Sc", "Sc"], "fractional_positions": [[0.1869, 0.7500, 0.0000], [0.2618, 0.1727, 0.3736], [0.8882, 0.3273, 0.6264], [0.8131, 0.2500, 0.0000], [0.1118, 0.6727, 0.3736], [0.7382, 0.8273, 0.6264], [0.3049, 0.2500, 0.0000], [0.6951, 0.7500, 0.0000], [0.3066, 0.9848, 0.7152], [0.4086, 0.4848, 0.7152], [0.5914, 0.5152, 0.2848], [0.6934, 0.0152, 0.2848]], "m_tot_mub_per_atom": 0.00, "mass_density_g_cm3": 5.75}

Which of them is the least stable? Correct choice: x.

--- w ---
{"formula": "TbMgSc5", "functional": "PBE", "state": "relaxed", "lattice_angstrom": [[5.9285, 0.5421, 1.9411], [2.3949, 5.4502, 1.9411], [4.4318, 3.1906, 13.7694]], "species": ["Sc", "Sc", "Sc", "Sc", "Sc", "Sc", "Sc", "Sc", "Sc", "Sc", "Mg", "Mg", "Tb", "Tb"], "fractional_positions": [[0.6918, 0.6803, 0.5087], [0.2172, 0.7828, 0.2500], [0.6964, 0.6821, 0.8030], [0.7828, 0.2172, 0.7500], [0.3082, 0.3197, 0.4913], [0.3036, 0.3179, 0.1970], [0.3179, 0.3036, 0.6970], [0.3197, 0.3082, 0.9913], [0.6821, 0.6964, 0.3030], [0.6803, 0.6918, 0.0087], [0.7391, 0.2609, 0.2500], [0.2609, 0.7391, 0.7500], [0.0000, 0.0000, 0.5000], [0.0000, 0.0000, 0.0000]], "m_tot_mub_per_atom": 0.00, "mass_density_g_cm3": 3.73}

--- x ---
{"formula": "TbMgSc5", "functional": "PBE", "state": "relaxed", "lattice_angstrom": [[4.7195, 0.0000, 0.0000], [0.0000, 4.7195, 0.0000], [0.0000, 0.0000, 8.5241]], "species": ["Sc", "Sc", "Sc", "Sc", "Sc", "Mg", "Tb"], "fractional_positions": [[0.0000, 0.5000, 0.2292], [0.0000, 0.5000, 0.7708], [0.5000, 0.5000, 0.5000], [0.5000, 0.0000, 0.7708], [0.5000, 0.0000, 0.2292], [0.5000, 0.5000, 0.0000], [0.0000, 0.0000, 0.5000]], "m_tot_mub_per_atom": 0.00, "mass_density_g_cm3": 3.57}

Which of them is the least stable? Correct choice: x.

--- w ---
{"formula": "Tb3MgSc", "functional": "PBE", "state": "relaxed", "lattice_angstrom": [[-2.3958, -2.0770, 1.3037], [5.8031, -4.0035, 4.2864], [-2.5983, 9.2868, 5.5126]], "species": ["Sc", "Sc", "Tb", "Tb", "Tb", "Tb", "Tb", "Tb", "Mg", "Mg"], "fractional_positions": [[0.7339, 0.8231, 0.4678], [0.2661, 0.1769, 0.5322], [0.1785, 0.4422, 0.3570], [0.6244, 0.0405, 0.2487], [0.0174, 0.2203, 0.0347], [0.3756, 0.9595, 0.7513], [0.8215, 0.5578, 0.6430], [0.9826, 0.7797, 0.9653], [0.4221, 0.3987, 0.8442], [0.5779, 0.6013, 0.1558]], "m_tot_mub_per_atom": 0.00, "mass_density_g_cm3": 6.16}

--- x ---
{"formula": "Tb3MgSc", "functional": "PBE", "state": "relaxed", "lattice_angstrom": [[-0.7581, 1.3592, -6.0910], [1.5988, -4.3703, -5.0230], [-7.4503, -3.4401, -4.0165]], "species": ["Tb", "Tb", "Tb", "Tb", "Tb", "Tb", "Mg", "Mg", "Sc", "Sc"], "fractional_positions": [[0.1134, 0.3055, 0.7767], [0.3021, 0.6531, 0.3901], [0.6979, 0.3469, 0.6099], [0.1127, 0.8061, 0.7765], [0.8874, 0.1939, 0.2235], [0.8866, 0.6945, 0.2233], [0.4924, 0.2468, 0.0145], [0.5076, 0.7532, 0.9855], [0.6997, 0.8534, 0.5944], [0.3003, 0.1466, 0.4056]], "m_tot_mub_per_atom": 0.00, "mass_density_g_cm3": 6.23}

Which of them is the least stable? Correct choice: w.

--- w ---
{"formula": "TbMg4Sc", "functional": "PBE", "state": "relaxed", "lattice_angstrom": [[-1.9550, -1.1741, -5.4852], [3.8708, -1.2580, -4.3269], [0.3497, -5.5231, -2.1591]], "species": ["Mg", "Mg", "Mg", "Mg", "Sc", "Tb"], "fractional_positions": [[0.1244, 0.6252, 0.6252], [0.6252, 0.6252, 0.6252], [0.6252, 0.6252, 0.1244], [0.6252, 0.1244, 0.6252], [0.0000, 0.0000, 0.0000], [0.2500, 0.2500, 0.2500]], "m_tot_mub_per_atom": 0.00, "mass_density_g_cm3": 3.37}

--- x ---
{"formula": "TbMg4Sc", "functional": "PBE", "state": "relaxed", "lattice_angstrom": [[-0.4984, -2.2835, 2.3456], [-2.0492, -5.7224, -3.6692], [7.3040, 0.5039, 4.3800]], "species": ["Mg", "Mg", "Mg", "Mg", "Sc", "Tb"], "fractional_positions": [[0.8447, 0.4821, 0.8286], [0.1553, 0.5179, 0.1714], [0.6735, 0.9957, 0.6574], [0.3265, 0.0043, 0.3426], [0.5000, 0.5000, 0.5000], [0.0000, 0.0000, 0.0000]], "m_tot_mub_per_atom": 0.03, "mass_density_g_cm3": 3.38}

Which of them is the least stable? Correct choice: w.